Compound: Na2HfCrI
Source: Alexandria via LeMat-Bulk
Functional: GGA-PBE
Structure: relaxed

Output
spin magnetization = 1.816 Bohr magnetons per cell
uncorrected energy = -3.6430 eV per atom
symmetry = P4/mmm (123)
formation energy without anion corrections = 107.10 kJ per mole of atoms
DOS at the Fermi energy = 7.56 states/eV/f.u.

a b c (Å): 5.564 5.418 5.564
angles (deg): 90.00 90.00 90.00
Fractional coordinates of all 5 atoms:
Hf  0.500  0.500  0.500
I  0.000  0.000  0.000
Cr  0.000  0.500  0.000
Na  0.000  0.000  0.500
Na  0.500  0.000  0.000

Compound: HfCrNiI2
Source: Alexandria via LeMat-Bulk
Functional: GGA-PBE
Structure: relaxed

Output
spin magnetization = 3.032 Bohr magnetons per cell
uncorrected energy = -4.6667 eV per atom
symmetry = P4/mmm (123)
formation energy without anion corrections = 98.89 kJ per mole of atoms
DOS at the Fermi energy = 6.96 states/eV/f.u.

a b c (Å): 5.220 4.448 5.220
angles (deg): 90.00 90.00 90.00
Fractional coordinates of all 5 atoms:
Ni  0.000  0.500  0.000
I  0.500  0.000  0.000
I  0.000  0.000  0.500
Hf  0.500  0.500  0.500
Cr  0.000  0.000  0.000

Compound: HfCrNi2I
Source: Alexandria via LeMat-Bulk
Functional: GGA-PBE
Structure: relaxed

Output
spin magnetization = 2.130 Bohr magnetons per cell
uncorrected energy = -5.5508 eV per atom
symmetry = P4/mmm (123)
formation energy without anion corrections = 95.24 kJ per mole of atoms
DOS at the Fermi energy = 5.21 states/eV/f.u.

a b c (Å): 4.477 4.824 4.477
angles (deg): 90.00 90.00 90.00
Fractional coordinates of all 5 atoms:
Ni  0.500  0.000  0.000
Ni  0.000  0.000  0.500
I  0.500  0.500  0.500
Hf  0.000  0.500  0.000
Cr  0.000  0.000  0.000